# PBE LiAl2Zn6, optimized geometry
# - energy (eV per atom) = -1.914
# - magnetic moment (μB per formula unit) = 0.00
# - ΔE_f (eV/atom) = -0.02
# - volume (Å³ per atom) = 15.4
# - energy above the most stable polymorph in this dataset (eV/atom) = 0.0000
# - DOS at the Fermi energy (states/eV per cell) = 1.88
data_LiAl2Zn6
_chemical_formula_sum 'Li1 Al2 Zn6'
_symmetry_space_group_name_H-M 'P 1'
_symmetry_Int_Tables_number 1
_symmetry_space_group_name_Hall 'P 1'
_cell_length_a 4.650
_cell_length_b 4.965
_cell_length_c 6.346
_cell_angle_alpha 84.16
_cell_angle_beta 74.30
_cell_angle_gamma 79.63
loop_
_atom_site_label
_atom_site_fract_x
_atom_site_fract_y
_atom_site_fract_z
Zn1 0.556 0.608 0.283
Zn2 0.444 0.392 0.717
Zn3 0.113 0.714 0.063
Zn4 0.330 0.172 0.164
Zn5 0.887 0.286 0.937
Zn6 0.670 0.828 0.836
Li1 0.000 0.500 0.500
Al1 0.778 0.060 0.383
Al2 0.222 0.940 0.617